Record 1
DFT (PBE+U) results for InNi3F after structural relaxation.

Results
Its total energy is -1.52 eV/atom. The value obtained for the volume is 23.4 Å³ per atom. Its energy above the most stable polymorph in this dataset is 4.425 eV per formula unit.

abc: 4.891 4.891 4.891
angles: 90.00 90.00 90.00
Fractional positions:
In (0.000, 0.000, 0.000)
Ni (0.000, 0.000, 0.500)
Ni (0.000, 0.500, 0.000)
Ni (0.500, 0.000, 0.000)
F (0.500, 0.500, 0.500)



Record 2
DFT (PBE+U) results for InNiF2 after structural relaxation.

Results
Its total energy is -3.38 eV/atom. The value obtained for the volume is 17.5 Å³ per atom. Its energy above the most stable polymorph in this dataset is 1.427 eV per formula unit.

abc: 7.679 7.679 7.679
angles: 24.80 24.80 24.80
Fractional positions:
In (0.000, 0.000, 0.000)
Ni (0.500, 0.500, 0.500)
F (0.415, 0.415, 0.415)
F (0.585, 0.585, 0.585)



Record 3
DFT (PBE+U) results for InNiF2 after structural relaxation.

Results
Its total energy is -3.74 eV/atom. The value obtained for the volume is 17.7 Å³ per atom. Its energy above the most stable polymorph in this dataset is 0.000 eV per formula unit.

abc: 8.425 8.425 8.425
angles: 21.59 21.59 21.59
Fractional positions:
In (0.000, 0.000, 0.000)
Ni (0.500, 0.500, 0.500)
F (0.127, 0.127, 0.127)
F (0.873, 0.873, 0.873)



Record 4
DFT (PBE+U) results for InNiF2 after structural relaxation.

Results
Its total energy is -3.56 eV/atom. The value obtained for the volume is 15.5 Å³ per atom. Its energy above the most stable polymorph in this dataset is 0.711 eV per formula unit.

abc: 5.467 5.467 5.467
angles: 105.55 105.55 117.63
Fractional positions:
In (0.000, 0.000, 0.000)
In (0.750, 0.250, 0.500)
Ni (0.250, 0.750, 0.500)
Ni (0.500, 0.500, 0.000)
F (0.216, 0.125, 0.591)
F (0.375, 0.784, 0.909)
F (0.534, 0.625, 0.409)
F (0.875, 0.466, 0.091)